# 1
# Tm4CoBr5

A relaxed Tm4CoBr5 crystal (PBE, Alexandria via LeMat-Bulk).

SG = C2/m
formation energy (no corrections) = -1316 meV per atom
magnetic moment = 0.00 μB/atom

a = 3.8287 Å, b = 8.3356 Å, c = 9.4977 Å
α = 102.01°, β = 101.63°, γ = 90.00°
Last column: nearest neighbours and their distance in Å.
Fractional coordinates of all 10 atoms:
Tm1 0.9983 0.7929 0.9967  2 Co 2.57
Tm2 0.3568 0.9269 0.7137  1 Co 2.60, 4 Br 2.86-2.90
Tm3 0.6432 0.0731 0.2863  1 Co 2.60, 4 Br 2.86-2.90
Tm4 0.0017 0.2071 0.0033  2 Co 2.57
Br1 0.1681 0.3335 0.3362  3 Tm 2.86-3.05
Br2 0.1793 0.8407 0.3585  3 Tm 2.90-3.23
Br3 0.8319 0.6665 0.6639  3 Tm 2.86-3.05
Br4 0.5000 0.5000 0.0000  4 Tm 3.11
Br5 0.8207 0.1593 0.6415  3 Tm 2.90-3.23
Co1 0.5000 0.0000 0.0000  6 Tm 2.57-2.60

***

# 2
# UCoBr2

A relaxed UCoBr2 crystal (PBE, Alexandria via LeMat-Bulk).

SG = R-3m
formation energy (no corrections) = 150 meV per atom
magnetic moment = 1.46 μB/atom

a = 3.4776 Å, b = 3.4776 Å, c = 9.2433 Å
α = 79.16°, β = 79.16°, γ = 60.00°
Last column: nearest neighbours and their distance in Å.
Fractional coordinates of all 4 atoms:
U1 0.0000 0.0000 0.0000  2 Br 2.94
Co1 0.5000 0.5000 0.5000  6 Br 2.55
Br1 0.1085 0.1085 0.6745  3 Co 2.55
Br2 0.8915 0.8915 0.3255  3 Co 2.55

***

# 3
# VCoBr3

A relaxed VCoBr3 crystal (PBE, Alexandria via LeMat-Bulk).

SG = Pm-3m
polymorph energy (0 for the lowest one) = 0.00 eV per formula unit
formation energy (no corrections) = 283 meV per atom
magnetic moment = 1.10 μB/atom

a = 5.1388 Å, b = 5.1388 Å, c = 5.1388 Å
α = 90.00°, β = 90.00°, γ = 90.00°
Last column: nearest neighbours and their distance in Å.
Fractional coordinates of all 5 atoms:
V1 0.0000 0.0000 0.0000  6 Br 2.57
Br1 0.0000 0.0000 0.5000  2 V 2.57
Br2 0.0000 0.5000 0.0000  2 V 2.57
Br3 0.5000 0.0000 0.0000  2 V 2.57
Co1 0.5000 0.5000 0.5000  12 Br 3.63

***

# 4
# VCoBr6

A relaxed VCoBr6 crystal (PBE, Alexandria via LeMat-Bulk).

SG = C2/m
formation energy (no corrections) = -593 meV per atom
magnetic moment = 0.25 μB/atom

a = 7.1631 Å, b = 7.1631 Å, c = 5.9181 Å
α = 90.32°, β = 90.32°, γ = 121.15°
Last column: nearest neighbours and their distance in Å.
Fractional coordinates of all 8 atoms:
Br1 0.2810 0.2810 0.7430  1 Co 2.43, 1 V 2.51
Br2 0.2776 0.0031 0.2629  1 Co 2.43, 1 V 2.51
Br3 0.7224 0.9969 0.7371  1 Co 2.43, 1 V 2.51
Br4 0.0031 0.2776 0.2629  1 Co 2.43, 1 V 2.51
Br5 0.9969 0.7224 0.7371  1 Co 2.43, 1 V 2.51
Br6 0.7190 0.7190 0.2570  1 Co 2.43, 1 V 2.51
Co1 0.0000 0.0000 0.5000  6 Br 2.43
V1 0.0000 0.0000 0.0000  6 Br 2.51

***

# 5
# V2CoBr8

A relaxed V2CoBr8 crystal (PBE, Alexandria via LeMat-Bulk).

SG = C2/m
formation energy (no corrections) = -610 meV per atom
magnetic moment = 0.52 μB/atom

a = 6.3148 Å, b = 7.9598 Å, c = 7.9598 Å
α = 83.21°, β = 87.67°, γ = 87.67°
Last column: nearest neighbours and their distance in Å.
Fractional coordinates of all 11 atoms:
Br1 0.2156 0.2711 0.9203  1 V 2.38, 1 Co 2.60
Br2 0.2680 0.8191 0.8191  1 V 2.38, 1 Co 2.67
Br3 0.7844 0.7289 0.0797  1 V 2.38, 1 Co 2.60
Br4 0.2156 0.9203 0.2711  1 V 2.38, 1 Co 2.60
Br5 0.7844 0.0797 0.7289  1 V 2.38, 1 Co 2.60
Br6 0.7514 0.6177 0.6177  1 V 2.32
Br7 0.7320 0.1809 0.1809  1 V 2.38, 1 Co 2.67
Br8 0.2486 0.3823 0.3823  1 V 2.32
Co1 0.0000 0.0000 0.0000  6 Br 2.60-2.67
V1 0.3546 0.1926 0.1926  4 Br 2.32-2.38
V2 0.6454 0.8074 0.8074  4 Br 2.32-2.38

***

# 6
# V3CoBr

A relaxed V3CoBr crystal (PBE, Alexandria via LeMat-Bulk).

SG = Pm-3m
polymorph energy (0 for the lowest one) = 2.00 eV per formula unit
formation energy (no corrections) = 1308 meV per atom
magnetic moment = 1.08 μB/atom

a = 4.4480 Å, b = 4.4480 Å, c = 4.4480 Å
α = 90.00°, β = 90.00°, γ = 90.00°
Last column: nearest neighbours and their distance in Å.
Fractional coordinates of all 5 atoms:
Br1 0.0000 0.0000 0.0000  6 V 2.22
Co1 0.5000 0.5000 0.5000  12 V 3.15
V1 0.5000 0.0000 0.0000  2 Br 2.22
V2 0.0000 0.5000 0.0000  2 Br 2.22
V3 0.0000 0.0000 0.5000  2 Br 2.22

***

# 7
# VCo3Br

A relaxed VCo3Br crystal (PBE, Alexandria via LeMat-Bulk).

SG = Pm-3m
polymorph energy (0 for the lowest one) = 0.15 eV per formula unit
formation energy (no corrections) = 1310 meV per atom
magnetic moment = 0.40 μB/atom

a = 4.3819 Å, b = 4.3819 Å, c = 4.3819 Å
α = 90.00°, β = 90.00°, γ = 90.00°
Last column: nearest neighbours and their distance in Å.
Fractional coordinates of all 5 atoms:
V1 0.0000 0.0000 0.0000  6 Co 2.19
Co1 0.0000 0.5000 0.0000  2 V 2.19
Co2 0.5000 0.0000 0.0000  2 V 2.19
Co3 0.0000 0.0000 0.5000  2 V 2.19
Br1 0.5000 0.5000 0.5000  12 Co 3.10

***

# 8
# VCoBr2

A relaxed VCoBr2 crystal (PBE, Alexandria via LeMat-Bulk).

SG = R-3m
polymorph energy (0 for the lowest one) = 0.00 eV per formula unit
formation energy (no corrections) = 329 meV per atom
magnetic moment = 0.62 μB/atom

a = 8.2797 Å, b = 8.2797 Å, c = 8.2797 Å
α = 23.03°, β = 23.03°, γ = 23.03°
Last column: nearest neighbours and their distance in Å.
Fractional coordinates of all 4 atoms:
Br1 0.9038 0.9038 0.9038  1 Co 2.32, 3 V 2.56
Br2 0.0962 0.0962 0.0962  1 Co 2.32, 3 V 2.56
V1 0.5000 0.5000 0.5000  6 Br 2.56
Co1 0.0000 0.0000 0.0000  2 Br 2.32

***

# 9
# VCoBr2

A relaxed VCoBr2 crystal (PBE, Alexandria via LeMat-Bulk).

SG = I-42d
polymorph energy (0 for the lowest one) = 0.20 eV per formula unit
formation energy (no corrections) = 379 meV per atom
magnetic moment = 1.22 μB/atom

a = 5.7545 Å, b = 5.7545 Å, c = 6.9523 Å
α = 65.55°, β = 65.55°, γ = 90.00°
Last column: nearest neighbours and their distance in Å.
Fractional coordinates of all 8 atoms:
Br1 0.1021 0.6250 0.2500  2 Co 2.40, 2 V 2.55
Br2 0.3750 0.3521 0.7500  2 Co 2.40, 2 V 2.55
Br3 0.8750 0.8979 0.7500  2 Co 2.40, 2 V 2.55
Br4 0.6479 0.1250 0.2500  2 Co 2.40, 2 V 2.55
Co1 0.7500 0.2500 0.5000  4 Br 2.40
Co2 0.0000 0.0000 0.0000  4 Br 2.40
V1 0.5000 0.5000 0.0000  4 Br 2.55
V2 0.2500 0.7500 0.5000  4 Br 2.55

***

# 10
# V3CoBr

A relaxed V3CoBr crystal (PBE, Alexandria via LeMat-Bulk).

SG = Pm-3m
polymorph energy (0 for the lowest one) = 0.00 eV per formula unit
formation energy (no corrections) = 908 meV per atom
magnetic moment = 0.95 μB/atom

a = 4.4858 Å, b = 4.4858 Å, c = 4.4858 Å
α = 90.00°, β = 90.00°, γ = 90.00°
Last column: nearest neighbours and their distance in Å.
Fractional coordinates of all 5 atoms:
V1 0.0000 0.0000 0.5000  2 Co 2.24
V2 0.5000 0.0000 0.0000  2 Co 2.24
V3 0.0000 0.5000 0.0000  2 Co 2.24
Br1 0.5000 0.5000 0.5000  12 V 3.17
Co1 0.0000 0.0000 0.0000  6 V 2.24

***

# 11
# VCo2Br

A relaxed VCo2Br crystal (PBE, Alexandria via LeMat-Bulk).

SG = I-42d
polymorph energy (0 for the lowest one) = 0.00 eV per formula unit
formation energy (no corrections) = 790 meV per atom
magnetic moment = 0.00 μB/atom

a = 5.5439 Å, b = 5.5439 Å, c = 6.0778 Å
α = 62.87°, β = 62.87°, γ = 90.00°
Last column: nearest neighbours and their distance in Å.
Fractional coordinates of all 8 atoms:
V1 0.5000 0.5000 0.0000  4 Co 2.22
V2 0.2500 0.7500 0.5000  4 Co 2.22
Co1 0.8750 0.8559 0.7500  2 V 2.22, 2 Br 2.34
Co2 0.1441 0.6250 0.2500  2 V 2.22, 2 Br 2.34
Co3 0.6059 0.1250 0.2500  2 V 2.22, 2 Br 2.34
Co4 0.3750 0.3941 0.7500  2 V 2.22, 2 Br 2.34
Br1 0.0000 0.0000 0.0000  4 Co 2.34
Br2 0.7500 0.2500 0.5000  4 Co 2.34

***

# 12
# VCo2Br

A relaxed VCo2Br crystal (PBE, Alexandria via LeMat-Bulk).

SG = Fm-3m
polymorph energy (0 for the lowest one) = 0.15 eV per formula unit
formation energy (no corrections) = 828 meV per atom
magnetic moment = 0.10 μB/atom

a = 4.2643 Å, b = 4.2643 Å, c = 4.2643 Å
α = 60.00°, β = 60.00°, γ = 60.00°
Last column: nearest neighbours and their distance in Å.
Fractional coordinates of all 4 atoms:
V1 0.0000 0.0000 0.0000  8 Co 2.61
Br1 0.5000 0.5000 0.5000  8 Co 2.61
Co1 0.2500 0.2500 0.2500  4 Br 2.61, 4 V 2.61
Co2 0.7500 0.7500 0.7500  4 V 2.61, 4 Br 2.61